SmDyInHg: relaxed, GGA-PBE.

Geometry as extended XYZ:
```
4
Lattice="0.0000 3.7875 3.7875 3.7875 0.0000 3.7875 3.7875 3.7875 0.0000" Properties=species:S:1:pos:R:3 pbc="T T T"
Sm 0.0000 0.0000 0.0000
Dy 3.7875 3.7875 3.7875
In 5.6812 5.6812 5.6812
Hg 1.8937 1.8937 1.8937
```

The calculation puts the total energy at -3.557 eV/atom. Its space group is F-43m (216). The crystal system is cubic. As for the density of states at the Fermi level: 4.58 states/eV per cell. The formation energy is -0.47 eV/atom.


Th2NbSe2I4: relaxed, GGA-PBE.

Geometry as extended XYZ:
```
9
Lattice="3.8096 0.0000 0.0000 -1.9048 3.2992 0.0000 0.0000 0.0000 24.3612" Properties=species:S:1:pos:R:3 pbc="T T T"
Th 0.0000 0.0000 0.0000
Th 0.0000 2.1994 8.8622
Nb 0.0000 2.1994 16.8997
Se 0.0000 0.0000 15.3184
Se 0.0000 0.0000 18.4867
I 0.0000 0.0000 6.5182
I 0.0000 0.0000 11.1926
I 0.0000 2.1994 2.3446
I 0.0000 2.1994 22.0351
```

For the formation energy from raw total energies, the calculation gives -8.12 eV/f.u. The calculation puts the total energy at -5.133 eV/atom. Its space group is P3m1 (156). The crystal system is trigonal. As for the density of states at the Fermi level: 4.48 states/eV per cell.


TaAuI3: relaxed, GGA-PBE.

Geometry as extended XYZ:
```
5
Lattice="5.5900 0.0000 0.0000 0.0000 5.5900 0.0000 0.0000 0.0000 5.5900" Properties=species:S:1:pos:R:3 pbc="T T T"
Ta 0.0000 0.0000 0.0000
Au 2.7950 2.7950 2.7950
I 0.0000 2.7950 2.7950
I 2.7950 0.0000 2.7950
I 2.7950 2.7950 0.0000
```

The relative energy among the computed polymorphs comes out at 696 meV/atom. For the formation energy from raw total energies, the calculation gives 5.91 eV/f.u. The calculation puts the total energy at -2.774 eV/atom. Its space group is Pm-3m (221). The crystal system is cubic. As for the density of states at the Fermi level: 5.78 states/eV per cell.


Th2ZnNiC: relaxed, GGA-PBE.

Geometry as extended XYZ:
```
10
Lattice="6.8418 0.0000 0.0000 0.0000 3.8527 0.0000 -3.3970 0.0000 7.7504" Properties=species:S:1:pos:R:3 pbc="T T T"
Th 0.1279 0.9632 3.0786
Th -1.8332 0.9632 7.5642
Th 5.2779 2.8896 0.1862
Th 3.3169 2.8896 4.6718
Zn -0.4119 2.8896 5.5099
Zn 3.8567 0.9632 2.2405
Ni 2.3734 2.8896 1.9829
Ni 1.0714 0.9632 5.7675
C 0.5235 2.8896 1.4191
C 2.9212 0.9632 6.3313
```

The calculation puts the total energy at -6.487 eV/atom. Its space group is P2_1/m (11). The crystal system is monoclinic. As for the density of states at the Fermi level: 8.68 states/eV per cell. The formation energy is -0.26 eV/atom.


TlIn2Re: relaxed, GGA-PBE.

Geometry as extended XYZ:
```
4
Lattice="3.1445 0.0000 0.0000 0.0000 3.1445 0.0000 0.0000 0.0000 9.2031" Properties=species:S:1:pos:R:3 pbc="T T T"
Tl 0.0000 0.0000 0.0000
In 1.5722 1.5722 2.7812
In 1.5722 1.5722 6.4218
Re 0.0000 0.0000 4.6015
```

The relative energy among the computed polymorphs comes out at 70 meV/atom. The calculation puts the total energy at -4.550 eV/atom. Its space group is P4/mmm (123). The crystal system is tetragonal. As for the density of states at the Fermi level: 4.72 states/eV per cell. The formation energy is 0.52 eV/atom.


RuPt2W: relaxed, GGA-PBE.

Geometry as extended XYZ:
```
4
Lattice="4.6304 -1.3799 0.0000 4.6304 1.3799 0.0000 -0.8164 0.0000 4.7642" Properties=species:S:1:pos:R:3 pbc="T T T"
Ru 0.0000 0.0000 0.0000
Pt 4.2827 0.0000 2.4362
Pt 6.7359 0.0000 1.1975
W 1.7544 0.0000 3.6256
```

The relative energy among the computed polymorphs comes out at 76 meV/atom. The calculation puts the total energy at -8.693 eV/atom. Its space group is Cm (8). The crystal system is monoclinic. As for the density of states at the Fermi level: 4.53 states/eV per cell. The formation energy is -0.12 eV/atom.


Li2RuBr: relaxed, GGA-PBE.

Geometry as extended XYZ:
```
4
Lattice="3.8748 0.0000 0.0000 0.0000 3.4132 0.0000 -0.0100 0.0000 4.4339" Properties=species:S:1:pos:R:3 pbc="T T T"
Li 0.0000 0.0000 0.0000
Li -0.0050 1.7066 2.2169
Ru 1.9324 0.0000 2.2169
Br 1.9374 1.7066 0.0000
```

The relative energy among the computed polymorphs comes out at 148 meV/atom. For the formation energy from raw total energies, the calculation gives 0.48 eV/f.u. The calculation puts the total energy at -3.575 eV/atom. Its space group is P2/m (10). The crystal system is monoclinic. As for the density of states at the Fermi level: 1.90 states/eV per cell.


Sc2Nb2Ru3: relaxed, GGA-PBE.

Geometry as extended XYZ:
```
7
Lattice="1.5754 -12.0813 0.0000 1.5754 12.0813 0.0000 0.0000 0.0000 3.1414" Properties=species:S:1:pos:R:3 pbc="T T T"
Sc 1.5754 10.4921 0.0000
Sc 1.5754 -10.4921 0.0000
Nb 1.5754 7.2191 0.0000
Nb 1.5754 -7.2191 0.0000
Ru 1.5754 3.3459 1.5707
Ru 1.5754 0.0000 1.5707
Ru 1.5754 -3.3459 1.5707
```

The calculation puts the total energy at -8.965 eV/atom. Its space group is Cmmm (65). The crystal system is orthorhombic. As for the density of states at the Fermi level: 4.65 states/eV per cell. The formation energy is -0.30 eV/atom.


Er6Sn2Os: relaxed, GGA-PBE.

Geometry as extended XYZ:
```
9
Lattice="8.0081 0.0000 0.0000 -4.0040 6.9352 0.0000 0.0000 0.0000 4.3408" Properties=species:S:1:pos:R:3 pbc="T T T"
Er -0.9625 1.6671 0.0000
Er -2.4209 4.1931 2.1704
Er 1.9250 0.0000 0.0000
Er 1.5832 2.7421 2.1704
Er 4.8418 0.0000 2.1704
Er 3.0415 5.2681 0.0000
Sn 0.0000 4.6235 0.0000
Sn 4.0040 2.3117 0.0000
Os 0.0000 0.0000 2.1704
```

The calculation puts the total energy at -5.710 eV/atom. Its space group is P-62m (189). The crystal system is hexagonal. As for the density of states at the Fermi level: 5.92 states/eV per cell. The formation energy is -0.53 eV/atom.


Pr4PIrBr2: relaxed, GGA-PBE.

Geometry as extended XYZ:
```
8
Lattice="7.5858 0.0000 0.0000 0.0000 4.1217 0.0000 -2.3231 0.0000 7.5208" Properties=species:S:1:pos:R:3 pbc="T T T"
Pr 1.2154 0.0000 1.4886
Pr 0.1611 2.0609 5.9907
Pr 5.1016 2.0609 1.5301
Pr 4.0473 0.0000 6.0322
P 3.7929 0.0000 0.0000
Ir 0.0000 2.0609 0.0000
Br -1.1615 0.0000 3.7604
Br 2.6314 2.0609 3.7604
```

For the formation energy from raw total energies, the calculation gives -9.92 eV/f.u. The calculation puts the total energy at -5.832 eV/atom. Its space group is P2/m (10). The crystal system is monoclinic. As for the density of states at the Fermi level: 5.92 states/eV per cell.


AlTcSe: relaxed, GGA-PBE.

Geometry as extended XYZ:
```
3
Lattice="0.0000 3.0064 3.0064 3.0064 0.0000 3.0064 3.0064 3.0064 0.0000" Properties=species:S:1:pos:R:3 pbc="T T T"
Al 0.0000 0.0000 0.0000
Tc 4.5096 4.5096 4.5096
Se 3.0064 3.0064 3.0064
```

The relative energy among the computed polymorphs comes out at 401 meV/atom. For the formation energy from raw total energies, the calculation gives 0.71 eV/f.u. The calculation puts the total energy at -5.628 eV/atom. Its space group is F-43m (216). The crystal system is cubic. As for the density of states at the Fermi level: 4.31 states/eV per cell.


Y3ZrBr: relaxed, GGA-PBE.

Geometry as extended XYZ:
```
5
Lattice="5.6661 0.0000 0.0000 0.0000 5.6661 0.0000 0.0000 0.0000 5.6661" Properties=species:S:1:pos:R:3 pbc="T T T"
Y 0.0000 0.0000 2.8331
Y 0.0000 2.8331 0.0000
Y 2.8331 0.0000 0.0000
Zr 0.0000 0.0000 0.0000
Br 2.8331 2.8331 2.8331
```

The relative energy among the computed polymorphs comes out at 476 meV/atom. For the formation energy from raw total energies, the calculation gives 2.38 eV/f.u. The calculation puts the total energy at -5.446 eV/atom. Its space group is Pm-3m (221). The crystal system is cubic. As for the density of states at the Fermi level: 1.86 states/eV per cell.


Pm5SmEr2: relaxed, GGA-PBE.

Geometry as extended XYZ:
```
16
Lattice="7.2195 0.0000 0.0000 0.0000 14.4378 0.0000 0.0000 0.0000 5.1012" Properties=species:S:1:pos:R:3 pbc="T T T"
Pm 0.0000 0.0000 0.0000
Pm 7.2173 3.6121 0.0000
Pm 0.0022 10.8258 0.0000
Pm 1.8047 1.8035 2.5506
Pm 1.8050 9.0224 2.5506
Pm 3.6076 3.6069 0.0000
Pm 3.6098 7.2189 0.0000
Pm 3.6119 10.8310 0.0000
Pm 5.4145 5.4154 2.5506
Pm 5.4148 12.6343 2.5506
Sm 0.0000 7.2189 0.0000
Sm 3.6098 0.0000 0.0000
Er 1.8027 5.4163 2.5506
Er 1.8070 12.6352 2.5506
Er 5.4125 1.8026 2.5506
Er 5.4168 9.0215 2.5506
```

The relative energy among the computed polymorphs comes out at 0 meV/atom. The calculation puts the total energy at -4.685 eV/atom. Its space group is Pbam (55). The crystal system is orthorhombic. As for the density of states at the Fermi level: 22.98 states/eV per cell. The formation energy is 0.01 eV/atom.


VHgH: relaxed, GGA-PBE.

Geometry as extended XYZ:
```
6
Lattice="-2.0179 4.1862 2.2768 2.0179 -4.1862 2.2768 2.0179 4.1862 -2.2768" Properties=species:S:1:pos:R:3 pbc="T T T"
V 0.0000 2.0931 0.2766
V 2.0179 2.0931 2.0002
Hg 2.0179 0.0000 0.0000
Hg 0.0000 0.0000 2.2768
H 1.0090 2.0931 -1.1384
H 1.0090 -2.0931 1.1384
```

The relative energy among the computed polymorphs comes out at 373 meV/atom. The calculation puts the total energy at -3.870 eV/atom. Its space group is Imma (74). The crystal system is orthorhombic. As for the density of states at the Fermi level: 4.87 states/eV per cell.


Ba6Ag2PdPt: relaxed, GGA-PBE.

Geometry as extended XYZ:
```
20
Lattice="7.9548 0.0000 0.0000 0.0000 8.8647 0.0000 -7.8788 0.0000 11.8885" Properties=species:S:1:pos:R:3 pbc="T T T"
Ba -2.5454 1.6138 5.2031
Ba -6.4848 2.8186 11.1473
Ba -1.3344 6.0817 5.1795
Ba -5.2738 7.2154 11.1237
Ba 1.0949 0.3400 2.9868
Ba -2.8445 4.0923 8.9310
Ba 2.9205 4.7724 2.9575
Ba -1.0189 8.5246 8.9017
Ba 5.3498 1.6493 0.7648
Ba 1.4104 2.7830 6.7090
Ba 6.5608 6.0461 0.7412
Ba 2.6214 7.2509 6.6854
Ag -4.3221 0.9456 8.9057
Ag -0.3827 3.4867 2.9614
Ag 0.4586 5.3780 8.9271
Ag 4.3980 7.9190 2.9828
Pd 0.0000 0.0000 0.0000
Pd -3.9394 4.4323 5.9443
Pt 0.0380 0.0000 5.9443
Pt 3.9774 4.4323 0.0000
```

The calculation puts the total energy at -3.251 eV/atom. Its space group is P2_1/c (14). The crystal system is monoclinic. As for the density of states at the Fermi level: 13.90 states/eV per cell. The formation energy is -0.40 eV/atom.


AlCu3HgSe4: relaxed, GGA-PBE.

Geometry as extended XYZ:
```
9
Lattice="5.9138 0.0000 0.0000 0.0000 5.9138 0.0000 0.0000 0.0000 5.9138" Properties=species:S:1:pos:R:3 pbc="T T T"
Al 0.0000 0.0000 0.0000
Cu 0.0000 0.0000 2.9569
Cu 0.0000 2.9569 0.0000
Cu 2.9569 0.0000 0.0000
Hg 2.9569 2.9569 2.9569
Se 1.3958 1.3958 1.3958
Se 1.3958 4.5180 4.5180
Se 4.5180 1.3958 4.5180
Se 4.5180 4.5180 1.3958
```

For the formation energy from raw total energies, the calculation gives -1.96 eV/f.u. The calculation puts the total energy at -3.582 eV/atom. Its space group is P-43m (215). The crystal system is cubic. As for the density of states at the Fermi level: 3.72 states/eV per cell.


ReSiOs2: relaxed, GGA-PBE.

Geometry as extended XYZ:
```
4
Lattice="2.8734 0.0000 0.0000 0.0000 2.8734 0.0000 0.0000 0.0000 6.6907" Properties=species:S:1:pos:R:3 pbc="T T T"
Re 0.0000 0.0000 0.0000
Si 1.4367 1.4367 1.5835
Os 0.0000 0.0000 2.9948
Os 1.4367 1.4367 4.9171
```

For the formation energy from raw total energies, the calculation gives -0.30 eV/f.u. The calculation puts the total energy at -10.158 eV/atom. Its space group is P4mm (99). The crystal system is tetragonal. As for the density of states at the Fermi level: 3.38 states/eV per cell.


PuTiNi: relaxed, GGA-PBE.

Geometry as extended XYZ:
```
3
Lattice="4.4892 0.0000 0.0000 -2.2446 3.8878 0.0000 0.0000 0.0000 2.8320" Properties=species:S:1:pos:R:3 pbc="T T T"
Pu 0.0000 0.0000 0.0000
Ti 0.0000 2.5919 2.0586
Ni 2.2446 1.2959 0.9956
```

The relative energy among the computed polymorphs comes out at 174 meV/atom. The calculation puts the total energy at -9.271 eV/atom. Its space group is P3m1 (156). The crystal system is trigonal. As for the density of states at the Fermi level: 5.22 states/eV per cell. The formation energy is 0.06 eV/atom.


LaRhSe2: relaxed, GGA-PBE.

Geometry as extended XYZ:
```
4
Lattice="0.0000 3.5154 3.5154 3.5154 0.0000 3.5154 3.5154 3.5154 0.0000" Properties=species:S:1:pos:R:3 pbc="T T T"
La 0.0000 0.0000 0.0000
Rh 3.5154 3.5154 3.5154
Se 1.7577 1.7577 1.7577
Se 5.2731 5.2731 5.2731
```

The relative energy among the computed polymorphs comes out at 272 meV/atom. For the formation energy from raw total energies, the calculation gives -3.47 eV/f.u. The calculation puts the total energy at -5.680 eV/atom. Its space group is Fm-3m (225). The crystal system is cubic. As for the density of states at the Fermi level: 2.34 states/eV per cell.


GaMoAu3: relaxed, GGA-PBE.

Geometry as extended XYZ:
```
5
Lattice="4.8169 0.0000 0.0000 0.0000 4.8169 0.0000 0.0000 0.0000 4.8169" Properties=species:S:1:pos:R:3 pbc="T T T"
Ga 0.0000 0.0000 0.0000
Mo 2.4085 2.4085 2.4085
Au 0.0000 0.0000 2.4085
Au 0.0000 2.4085 0.0000
Au 2.4085 0.0000 0.0000
```

The relative energy among the computed polymorphs comes out at 0 meV/atom. The calculation puts the total energy at -3.878 eV/atom. Its space group is Pm-3m (221). The crystal system is cubic. As for the density of states at the Fermi level: 1.71 states/eV per cell. The formation energy is 0.86 eV/atom.


| no. | M_tot (μB/atom) |
| --- | --- |
| 1 | 0.103 |
| 2 | 0.063 |
| 3 | 0.704 |
| 4 | 0.000 |
| 5 | 0.107 |
| 6 | 0.000 |
| 7 | 0.000 |
| 8 | 0.000 |
| 9 | 0.000 |
| 10 | 0.000 |
| 11 | 0.001 |
| 12 | 0.000 |
| 13 | 0.000 |
| 14 | 0.043 |
| 15 | 0.000 |
| 16 | 0.000 |
| 17 | 0.000 |
| 18 | 1.687 |
| 19 | 0.500 |
| 20 | 0.799 |